Density functional theory data (PBE) for a relaxed YHf2TcW crystal.

- ΔE_f (eV/atom) = 1.099
- space group = P4/mmm
- density (kg/m3) = 9960
- raw total energy (eV per atom) = -8.84

Lattice parameters (Å, degrees): 4.892 4.892 5.069 90.00 90.00 90.00
Fractional positions:
Y 0.000 0.000 0.000
Hf 0.000 0.500 0.500
Hf 0.500 0.000 0.500
Tc 0.000 0.000 0.500
W 0.500 0.500 0.000

Density functional theory data (PBE) for a relaxed Rb2MgCCl6 crystal.

- formation energy from raw total energies (eV/atom) = -0.845
- space group = I4/mmm
- density (kg/m3) = 2988
- raw total energy (eV per atom) = -3.23

Lattice parameters (Å, degrees): 6.807 6.807 6.807 116.50 116.50 96.18
Fractional positions:
Rb 0.250 0.750 0.500
Rb 0.750 0.250 0.500
Mg 0.000 0.000 0.000
C 0.500 0.500 0.000
Cl 0.258 0.258 0.000
Cl 0.258 0.258 0.516
Cl 0.258 0.742 0.000
Cl 0.742 0.258 0.000
Cl 0.742 0.742 0.000
Cl 0.742 0.742 0.484

Density functional theory data (PBE) for a relaxed MoOs2Cl crystal.

- formation energy from raw total energies (eV/atom) = 0.494
- space group = Pmm2
- density (kg/m3) = 11186
- ΔE to the lowest computed polymorph (meV per atom) = 22
- raw total energy (eV per atom) = -8.29

Lattice parameters (Å, degrees): 2.823 3.713 7.249 90.00 90.00 90.00
Fractional positions:
Mo 0.000 0.000 0.000
Os 0.000 0.000 0.646
Os 0.500 0.500 0.785
Cl 0.000 0.500 0.233

Density functional theory data (PBE) for a relaxed BaCaAc crystal.

- ΔE_f (eV/atom) = 0.087
- space group = P3m1
- density (kg/m3) = 4676
- ΔE to the lowest computed polymorph (meV per atom) = 53
- raw total energy (eV per atom) = -2.59

Lattice parameters (Å, degrees): 6.497 6.497 3.929 90.00 90.00 120.00
Fractional positions:
Ba 0.000 0.000 0.000
Ca 0.667 0.333 0.766
Ac 0.333 0.667 0.389

Density functional theory data (PBE) for a relaxed Ni2Rh2Au crystal.

- ΔE_f (eV/atom) = 0.225
- space group = P4/mbm
- density (kg/m3) = 12060
- ΔE to the lowest computed polymorph (meV per atom) = 40
- raw total energy (eV per atom) = -5.68

Lattice parameters (Å, degrees): 7.269 7.269 2.711 90.00 90.00 90.00
Fractional positions:
Ni 0.167 0.333 0.000
Ni 0.333 0.833 0.000
Ni 0.667 0.167 0.000
Ni 0.833 0.667 0.000
Rh 0.129 0.629 0.500
Rh 0.371 0.129 0.500
Rh 0.629 0.871 0.500
Rh 0.871 0.371 0.500
Au 0.000 0.000 0.500
Au 0.500 0.500 0.500

Density functional theory data (PBE) for a relaxed CaTi2Nb crystal.

- ΔE_f (eV/atom) = 0.503
- space group = Fm-3m
- density (kg/m3) = 4716
- ΔE to the lowest computed polymorph (meV per atom) = 0
- raw total energy (eV per atom) = -6.46

Lattice parameters (Å, degrees): 4.847 4.847 4.847 60.00 60.00 60.00
Fractional positions:
Ca 0.000 0.000 0.000
Ti 0.250 0.250 0.250
Ti 0.750 0.750 0.750
Nb 0.500 0.500 0.500

Density functional theory data (PBE) for a relaxed LaSm2BiC crystal.

- ΔE_f (eV/atom) = -0.480
- space group = P4/mmm
- density (kg/m3) = 8194
- raw total energy (eV per atom) = -5.97

Lattice parameters (Å, degrees): 5.068 5.068 5.212 90.00 90.00 90.00
Fractional positions:
La 0.000 0.000 0.000
Sm 0.000 0.500 0.500
Sm 0.500 0.000 0.500
Bi 0.500 0.500 0.000
C 0.000 0.000 0.500

Density functional theory data (PBE) for a relaxed Th3CoHg crystal.

- ΔE_f (eV/atom) = -0.154
- space group = P2_1/c
- density (kg/m3) = 11657
- ΔE to the lowest computed polymorph (meV per atom) = 28
- raw total energy (eV per atom) = -6.09

Lattice parameters (Å, degrees): 11.514 6.790 7.302 90.00 107.50 90.00
Fractional positions:
Th 0.116 0.127 0.212
Th 0.116 0.373 0.712
Th 0.333 0.679 0.488
Th 0.333 0.821 0.988
Th 0.375 0.177 0.652
Th 0.375 0.323 0.152
Th 0.625 0.677 0.848
Th 0.625 0.823 0.348
Th 0.667 0.179 0.012
Th 0.667 0.321 0.512
Th 0.884 0.627 0.288
Th 0.884 0.873 0.788
Co 0.396 0.003 0.350
Co 0.396 0.497 0.850
Co 0.604 0.503 0.150
Co 0.604 0.997 0.650
Hg 0.107 0.625 0.108
Hg 0.107 0.875 0.608
Hg 0.893 0.125 0.392
Hg 0.893 0.375 0.892

> Which of these has the lowest raw total energy?

YHf2TcW

> Which formula does entry 6 have?

CaTi2Nb

> Look up the raw total energy of the first one.

-8.84 eV per atom

Copy entry 1 word for word.
Density functional theory data (PBE) for a relaxed YHf2TcW crystal.

- ΔE_f (eV/atom) = 1.099
- space group = P4/mmm
- density (kg/m3) = 9960
- raw total energy (eV per atom) = -8.84

Lattice parameters (Å, degrees): 4.892 4.892 5.069 90.00 90.00 90.00
Fractional positions:
Y 0.000 0.000 0.000
Hf 0.000 0.500 0.500
Hf 0.500 0.000 0.500
Tc 0.000 0.000 0.500
W 0.500 0.500 0.000